No. 1
# PBE TbNd3Dy2Er6, relaxed
data_TbNd3Dy2Er6
_space_group_name_H-M_alt 'P 1'
_space_group_IT_number 1
_cell_length_a 6.1737
_cell_length_b 6.1737
_cell_length_c 11.7377
_cell_angle_alpha 95.01
_cell_angle_beta 95.01
_cell_angle_gamma 119.98
loop_
_space_group_symop_operation_xyz
'x,y,z'
loop_
_atom_site_label
_atom_site_type_symbol
_atom_site_fract_x
_atom_site_fract_y
_atom_site_fract_z
Er1 Er 0.4157 0.0824 0.2466
Er2 Er 0.2510 0.2510 0.7534
Er3 Er 0.9176 0.5843 0.7534
Er4 Er 0.0824 0.4157 0.2466
Er5 Er 0.7490 0.7490 0.2466
Er6 Er 0.5843 0.9176 0.7534
Nd1 Nd 0.8333 0.1667 0.5000
Nd2 Nd 0.5000 0.5000 0.5000
Nd3 Nd 0.1667 0.8333 0.5000
Dy1 Dy 0.3333 0.6667 0.0000
Dy2 Dy 0.6667 0.3333 0.0000
Tb1 Tb 0.0000 0.0000 0.0000
# Space group ... No. 12
# E_form ... 19 meV/atom
# Calculated density ... 8.356 g cm⁻³
# Crystal system ... monoclinic


No. 2
# PBE TbNd2DyEr2, relaxed
data_TbNd2DyEr2
_space_group_name_H-M_alt 'P 1'
_space_group_IT_number 1
_cell_length_a 5.6565
_cell_length_b 7.0012
_cell_length_c 9.7993
_cell_angle_alpha 90.00
_cell_angle_beta 90.00
_cell_angle_gamma 90.00
loop_
_space_group_symop_operation_xyz
'x,y,z'
loop_
_atom_site_label
_atom_site_type_symbol
_atom_site_fract_x
_atom_site_fract_y
_atom_site_fract_z
Tb1 Tb 0.0000 0.0074 0.4999
Tb2 Tb 0.0000 0.5074 0.5001
Nd1 Nd 0.5000 0.5078 0.9998
Nd2 Nd 0.0000 0.7580 0.8257
Nd3 Nd 0.0000 0.2580 0.1743
Nd4 Nd 0.5000 0.0078 0.0002
Er1 Er 0.5000 0.2573 0.3332
Er2 Er 0.5000 0.7573 0.6668
Er3 Er 0.0000 0.7579 0.1643
Er4 Er 0.0000 0.2579 0.8357
Dy1 Dy 0.5000 0.2572 0.6616
Dy2 Dy 0.5000 0.7572 0.3384
# Space group ... No. 51
# E_form ... 68 meV/atom
# Calculated density ... 8.082 g cm⁻³
# Crystal system ... orthorhombic


No. 3
# PBE TbNd6DyEr2, relaxed
data_TbNd6DyEr2
_space_group_name_H-M_alt 'P 1'
_space_group_IT_number 1
_cell_length_a 9.6440
_cell_length_b 8.9458
_cell_length_c 8.9458
_cell_angle_alpha 117.54
_cell_angle_beta 93.83
_cell_angle_gamma 93.83
loop_
_space_group_symop_operation_xyz
'x,y,z'
loop_
_atom_site_label
_atom_site_type_symbol
_atom_site_fract_x
_atom_site_fract_y
_atom_site_fract_z
Er1 Er 0.9532 0.7027 0.7996
Er2 Er 0.5468 0.2004 0.2973
Er3 Er 0.0468 0.2973 0.2004
Er4 Er 0.4532 0.7996 0.7027
Nd1 Nd 0.6867 0.0093 0.5628
Nd2 Nd 0.5544 0.7621 0.1147
Nd3 Nd 0.8820 0.2935 0.5117
Nd4 Nd 0.4456 0.2379 0.8853
Nd5 Nd 0.9456 0.8853 0.2379
Nd6 Nd 0.3133 0.9907 0.4372
Nd7 Nd 0.6180 0.4883 0.7065
Nd8 Nd 0.1180 0.7065 0.4883
Nd9 Nd 0.0544 0.1147 0.7621
Nd10 Nd 0.3820 0.5117 0.2935
Nd11 Nd 0.1867 0.5628 0.0093
Nd12 Nd 0.8133 0.4372 0.9907
Dy1 Dy 0.7500 0.5894 0.4106
Dy2 Dy 0.2500 0.4106 0.5894
Tb1 Tb 0.2500 0.9712 0.0288
Tb2 Tb 0.7500 0.0288 0.9712
# Space group ... No. 15
# E_form ... 116 meV/atom
# Calculated density ... 7.445 g cm⁻³
# Crystal system ... monoclinic


No. 4
# PBE Tb3Nd6Dy2Er, relaxed
data_Tb3Nd6Dy2Er
_space_group_name_H-M_alt 'P 1'
_space_group_IT_number 1
_cell_length_a 6.2754
_cell_length_b 6.2754
_cell_length_c 11.8722
_cell_angle_alpha 95.04
_cell_angle_beta 95.04
_cell_angle_gamma 119.99
loop_
_space_group_symop_operation_xyz
'x,y,z'
loop_
_atom_site_label
_atom_site_type_symbol
_atom_site_fract_x
_atom_site_fract_y
_atom_site_fract_z
Nd1 Nd 0.4166 0.0835 0.2491
Nd2 Nd 0.2498 0.2498 0.7509
Nd3 Nd 0.0835 0.4166 0.2491
Nd4 Nd 0.9165 0.5834 0.7509
Nd5 Nd 0.5834 0.9165 0.7509
Nd6 Nd 0.7502 0.7502 0.2491
Tb1 Tb 0.5000 0.5000 0.5000
Tb2 Tb 0.1666 0.8334 0.5000
Tb3 Tb 0.8334 0.1666 0.5000
Er1 Er 0.0000 0.0000 0.0000
Dy1 Dy 0.6667 0.3333 0.0000
Dy2 Dy 0.3333 0.6667 0.0000
# Space group ... No. 12
# E_form ... 11 meV/atom
# Calculated density ... 7.642 g cm⁻³
# Crystal system ... monoclinic


No. 5
# PBE TbNd5DyEr2, relaxed
data_TbNd5DyEr2
_space_group_name_H-M_alt 'P 1'
_space_group_IT_number 1
_cell_length_a 5.6518
_cell_length_b 10.5794
_cell_length_c 10.7068
_cell_angle_alpha 90.00
_cell_angle_beta 90.00
_cell_angle_gamma 105.49
loop_
_space_group_symop_operation_xyz
'x,y,z'
loop_
_atom_site_label
_atom_site_type_symbol
_atom_site_fract_x
_atom_site_fract_y
_atom_site_fract_z
Dy1 Dy 0.5908 0.1816 0.9604
Dy2 Dy 0.4092 0.8184 0.4604
Nd1 Nd 0.2803 0.5606 0.3119
Nd2 Nd 0.4820 0.9640 0.7431
Nd3 Nd 0.7028 0.4056 0.2062
Nd4 Nd 0.2972 0.5944 0.7062
Nd5 Nd 0.5180 0.0360 0.2431
Nd6 Nd 0.0162 0.0325 0.0187
Nd7 Nd 0.3865 0.7730 0.0224
Nd8 Nd 0.6135 0.2270 0.5224
Nd9 Nd 0.7197 0.4394 0.8119
Nd10 Nd 0.9838 0.9675 0.5187
Tb1 Tb 0.1991 0.3981 0.0107
Tb2 Tb 0.8009 0.6019 0.5107
Er1 Er 0.8850 0.7700 0.8116
Er2 Er 0.8881 0.7762 0.2390
Er3 Er 0.1119 0.2238 0.7390
Er4 Er 0.1150 0.2300 0.3116
# Space group ... No. 36
# E_form ... 145 meV/atom
# Calculated density ... 7.414 g cm⁻³
# Crystal system ... orthorhombic


No. 6
# PBE TbNd3DyEr, relaxed
data_TbNd3DyEr
_space_group_name_H-M_alt 'P 1'
_space_group_IT_number 1
_cell_length_a 5.0926
_cell_length_b 8.0816
_cell_length_c 10.2087
_cell_angle_alpha 90.00
_cell_angle_beta 90.00
_cell_angle_gamma 108.37
loop_
_space_group_symop_operation_xyz
'x,y,z'
loop_
_atom_site_label
_atom_site_type_symbol
_atom_site_fract_x
_atom_site_fract_y
_atom_site_fract_z
Dy1 Dy 0.4985 0.9971 0.7500
Dy2 Dy 0.5015 0.0029 0.2500
Tb1 Tb 0.0000 0.0000 0.5000
Tb2 Tb 0.0000 0.0000 0.0000
Nd1 Nd 0.6654 0.3308 0.0003
Nd2 Nd 0.3346 0.6692 0.9997
Nd3 Nd 0.6654 0.3308 0.4997
Nd4 Nd 0.8336 0.6672 0.2500
Nd5 Nd 0.3346 0.6692 0.5003
Nd6 Nd 0.1664 0.3328 0.7500
Er1 Er 0.1652 0.3303 0.2500
Er2 Er 0.8348 0.6697 0.7500
# Space group ... No. 63
# E_form ... 19 meV/atom
# Calculated density ... 7.674 g cm⁻³
# Crystal system ... orthorhombic